[1]
A relaxed structure of Cs2TmGaI6. Source: the Alexandria database, functional PBE.

The structure in CIF format:
```
data_Cs2TmGaI6
_symmetry_space_group_name_H-M 'P m m n'
_symmetry_Int_Tables_number 59
_cell_length_a 8.7862
_cell_length_b 12.4310
_cell_length_c 8.7841
_cell_angle_alpha 90.00
_cell_angle_beta 90.00
_cell_angle_gamma 90.00
loop_
_symmetry_equiv_pos_as_xyz
'x,y,z'
'-x,-y,-z'
'-x+1/2,-y+1/2,z'
'x+1/2,y+1/2,-z'
'x+1/2,-y,-z'
'-x+1/2,y,z'
'-x,y+1/2,-z'
'x,-y+1/2,z'
loop_
_atom_site_label
_atom_site_type_symbol
_atom_site_fract_x
_atom_site_fract_y
_atom_site_fract_z
Cs1 Cs 0.2500 0.0000 0.2494
Tm1 Tm 0.2500 0.2500 0.7513
Ga1 Ga 0.2500 0.7500 0.7489
I1 I 0.0086 0.2500 0.5101
I2 I 0.0089 0.2500 0.9929
I3 I 0.2500 0.0089 0.7513
```

ΔE_f (raw) (kJ/mol of formula units): -1211
E (eV/f.u.): -31.06
Magnetic moment (μB per formula unit): 0.00



[2]
A relaxed structure of PaHRh. Source: the Alexandria database, functional PBE.

The structure in CIF format:
```
data_PaHRh
_symmetry_space_group_name_H-M 'P -1'
_symmetry_Int_Tables_number 2
_cell_length_a 4.6963
_cell_length_b 4.9758
_cell_length_c 4.9913
_cell_angle_alpha 89.79
_cell_angle_beta 62.01
_cell_angle_gamma 61.92
loop_
_symmetry_equiv_pos_as_xyz
'x,y,z'
'-x,-y,-z'
loop_
_atom_site_label
_atom_site_type_symbol
_atom_site_fract_x
_atom_site_fract_y
_atom_site_fract_z
Pa1 Pa 0.0000 0.0000 0.0000
Pa2 Pa 0.0000 0.5000 0.5000
H1 H 0.0000 0.0000 0.5000
H2 H 0.5000 0.5000 0.0000
Rh1 Rh 0.4439 0.2491 0.7492
```

E (eV/f.u.): -21.56
Magnetic moment (μB per formula unit): 0.00
Distance to the lowest polymorph of the same formula (meV/atom): 173



[3]
A relaxed structure of Dy3Tm2Sc6. Source: the Alexandria database, functional PBE.

The structure in CIF format:
```
data_Dy3Tm2Sc6
_symmetry_space_group_name_H-M 'R -3 m'
_symmetry_Int_Tables_number 166
_symmetry_space_group_name_Hall '-R 3 2"'
_cell_length_a 4.3090
_cell_length_b 4.3090
_cell_length_c 62.0592
_cell_angle_alpha 90.00
_cell_angle_beta 90.00
_cell_angle_gamma 120.00
loop_
_atom_site_label
_atom_site_type_symbol
_atom_site_fract_x
_atom_site_fract_y
_atom_site_fract_z
Dy1 Dy 0.0000 0.0000 0.0000
Dy2 Dy 0.0000 0.0000 0.2630
Tm1 Tm 0.0000 0.0000 0.4680
Sc1 Sc 0.0000 0.0000 0.1046
Sc2 Sc 0.0000 0.0000 0.1698
Sc3 Sc 0.0000 0.0000 0.3685
```

E (eV/f.u.): -52.67
Formation enthalpy at 0 K (eV/atom): 0.734
Magnetic moment (μB per formula unit): 5.25



[4]
A relaxed structure of La3OsBr3. Source: the Alexandria database, functional PBE.

The structure in CIF format:
```
data_La3OsBr3
_symmetry_space_group_name_H-M 'P 1 21/m 1'
_symmetry_Int_Tables_number 11
_cell_length_a 9.1504
_cell_length_b 4.3361
_cell_length_c 12.2085
_cell_angle_alpha 90.00
_cell_angle_beta 93.91
_cell_angle_gamma 90.00
loop_
_symmetry_equiv_pos_as_xyz
'x,y,z'
'-x,-y,-z'
'-x,y+1/2,-z'
'x,-y+1/2,z'
loop_
_atom_site_label
_atom_site_type_symbol
_atom_site_fract_x
_atom_site_fract_y
_atom_site_fract_z
La1 La 0.0990 0.2500 0.3906
La2 La 0.1256 0.2500 0.8437
La3 La 0.3288 0.7500 0.6263
Os1 Os 0.1198 0.2500 0.6296
Br1 Br 0.1132 0.2500 0.1184
Br2 Br 0.3612 0.7500 0.8801
Br3 Br 0.3916 0.7500 0.3734
```

ΔE_f (raw) (kJ/mol of formula units): -899
E (eV/f.u.): -40.35
Magnetic moment (μB per formula unit): 0.00



[5]
A relaxed structure of GaSn2Se2. Source: the Alexandria database, functional PBE.

The structure in CIF format:
```
data_GaSn2Se2
_symmetry_space_group_name_H-M 'P 4/m b m'
_symmetry_Int_Tables_number 127
_symmetry_space_group_name_Hall '-P 4 2ab'
_cell_length_a 7.9915
_cell_length_b 7.9915
_cell_length_c 4.0685
_cell_angle_alpha 90.00
_cell_angle_beta 90.00
_cell_angle_gamma 90.00
loop_
_atom_site_label
_atom_site_type_symbol
_atom_site_fract_x
_atom_site_fract_y
_atom_site_fract_z
Ga1 Ga 0.0000 0.0000 0.0000
Sn1 Sn 0.1511 0.3489 0.0000
Se1 Se 0.1722 0.6722 0.5000
```

ΔE_f (raw) (kJ/mol of formula units): -61
E (eV/f.u.): -18.64
Magnetic moment (μB per formula unit): 0.00
Distance to the lowest polymorph of the same formula (meV/atom): 27



[6]
A relaxed structure of LaY2Mg6. Source: the Alexandria database, functional PBE.

The structure in CIF format:
```
data_LaY2Mg6
_symmetry_space_group_name_H-M 'P 6/m m m'
_symmetry_Int_Tables_number 191
_symmetry_space_group_name_Hall '-P 6 2'
_cell_length_a 9.1179
_cell_length_b 9.1179
_cell_length_c 3.3756
_cell_angle_alpha 90.00
_cell_angle_beta 90.00
_cell_angle_gamma 120.00
loop_
_atom_site_label
_atom_site_type_symbol
_atom_site_fract_x
_atom_site_fract_y
_atom_site_fract_z
La1 La 0.0000 0.0000 0.0000
Y1 Y 0.3333 0.6667 0.0000
Mg1 Mg 0.0000 0.3374 0.5000
```

E (eV/f.u.): -28.19
Formation enthalpy at 0 K (eV/atom): -0.086
Magnetic moment (μB per formula unit): 0.13



[7]
A relaxed structure of La2CeNd. Source: the Alexandria database, functional PBE.

The structure in CIF format:
```
data_La2CeNd
_symmetry_space_group_name_H-M 'P 4/m m m'
_symmetry_Int_Tables_number 123
_symmetry_space_group_name_Hall '-P 4 2'
_cell_length_a 3.5954
_cell_length_b 3.5954
_cell_length_c 10.3728
_cell_angle_alpha 90.00
_cell_angle_beta 90.00
_cell_angle_gamma 90.00
loop_
_atom_site_label
_atom_site_type_symbol
_atom_site_fract_x
_atom_site_fract_y
_atom_site_fract_z
La1 La 0.0000 0.0000 0.2313
Ce1 Ce 0.5000 0.5000 0.0000
Nd1 Nd 0.5000 0.5000 0.5000
```

E (eV/f.u.): -20.36
Formation enthalpy at 0 K (eV/atom): 0.048
Magnetic moment (μB per formula unit): 0.00
Distance to the lowest polymorph of the same formula (meV/atom): 0



[8]
A relaxed structure of PaBiS. Source: the Alexandria database, functional PBE.

The structure in CIF format:
```
data_PaBiS
_symmetry_space_group_name_H-M 'P -6 m 2'
_symmetry_Int_Tables_number 187
_symmetry_space_group_name_Hall 'P -6 2'
_cell_length_a 4.5779
_cell_length_b 4.5779
_cell_length_c 4.3229
_cell_angle_alpha 90.00
_cell_angle_beta 90.00
_cell_angle_gamma 120.00
loop_
_atom_site_label
_atom_site_type_symbol
_atom_site_fract_x
_atom_site_fract_y
_atom_site_fract_z
Pa1 Pa 0.0000 0.0000 0.0000
Bi1 Bi 0.6667 0.3333 0.5000
S1 S 0.3333 0.6667 0.0000
```

ΔE_f (raw) (kJ/mol of formula units): -240
E (eV/f.u.): -19.99
Magnetic moment (μB per formula unit): 0.00



[9]
A relaxed structure of AgSnS. Source: the Alexandria database, functional PBE.

The structure in CIF format:
```
data_AgSnS
_symmetry_space_group_name_H-M 'C 1 2/m 1'
_symmetry_Int_Tables_number 12
_cell_length_a 20.8875
_cell_length_b 3.6753
_cell_length_c 8.6226
_cell_angle_alpha 90.00
_cell_angle_beta 106.01
_cell_angle_gamma 90.00
loop_
_symmetry_equiv_pos_as_xyz
'x,y,z'
'-x,-y,-z'
'-x,y,-z'
'x,-y,z'
'x+1/2,y+1/2,z'
'-x+1/2,-y+1/2,-z'
'-x+1/2,y+1/2,-z'
'x+1/2,-y+1/2,z'
loop_
_atom_site_label
_atom_site_type_symbol
_atom_site_fract_x
_atom_site_fract_y
_atom_site_fract_z
Ag1 Ag 0.1939 0.0000 0.4913
Ag2 Ag 0.2411 0.5000 0.7563
Sn1 Sn 0.0878 0.5000 0.4733
Sn2 Sn 0.1491 0.5000 0.9304
S1 S 0.0386 0.5000 0.7097
S2 S 0.1309 0.0000 0.1155
```

ΔE_f (raw) (kJ/mol of formula units): -28
E (eV/f.u.): -11.27
Magnetic moment (μB per formula unit): 0.00



[10]
A relaxed structure of LiMo3Pt. Source: the Alexandria database, functional PBE.

The structure in CIF format:
```
data_LiMo3Pt
_symmetry_space_group_name_H-M 'P m -3 m'
_symmetry_Int_Tables_number 221
_symmetry_space_group_name_Hall '-P 4 2 3'
_cell_length_a 4.1909
_cell_length_b 4.1909
_cell_length_c 4.1909
_cell_angle_alpha 90.00
_cell_angle_beta 90.00
_cell_angle_gamma 90.00
loop_
_atom_site_label
_atom_site_type_symbol
_atom_site_fract_x
_atom_site_fract_y
_atom_site_fract_z
Li1 Li 0.0000 0.0000 0.0000
Mo1 Mo 0.0000 0.0000 0.5000
Pt1 Pt 0.5000 0.5000 0.5000
```

E (eV/f.u.): -35.51
Formation enthalpy at 0 K (eV/atom): 0.988
Magnetic moment (μB per formula unit): 0.00
Distance to the lowest polymorph of the same formula (meV/atom): 0



[11]
A relaxed structure of CrFe2Tc. Source: the Alexandria database, functional PBE.

The structure in CIF format:
```
data_CrFe2Tc
_symmetry_space_group_name_H-M 'P 4/m m m'
_symmetry_Int_Tables_number 123
_symmetry_space_group_name_Hall '-P 4 2'
_cell_length_a 2.5619
_cell_length_b 2.5619
_cell_length_c 7.2301
_cell_angle_alpha 90.00
_cell_angle_beta 90.00
_cell_angle_gamma 90.00
loop_
_atom_site_label
_atom_site_type_symbol
_atom_site_fract_x
_atom_site_fract_y
_atom_site_fract_z
Cr1 Cr 0.0000 0.0000 0.0000
Fe1 Fe 0.5000 0.5000 0.2363
Tc1 Tc 0.0000 0.0000 0.5000
```

E (eV/f.u.): -36.48
Formation enthalpy at 0 K (eV/atom): 0.110
Magnetic moment (μB per formula unit): 1.19



[12]
A relaxed structure of NdDy7Y2. Source: the Alexandria database, functional PBE.

The structure in CIF format:
```
data_NdDy7Y2
_symmetry_space_group_name_H-M 'P -1'
_symmetry_Int_Tables_number 2
_cell_length_a 6.1651
_cell_length_b 6.1693
_cell_length_c 9.4241
_cell_angle_alpha 102.57
_cell_angle_beta 109.04
_cell_angle_gamma 99.64
loop_
_symmetry_equiv_pos_as_xyz
'x,y,z'
'-x,-y,-z'
loop_
_atom_site_label
_atom_site_type_symbol
_atom_site_fract_x
_atom_site_fract_y
_atom_site_fract_z
Nd1 Nd 0.0000 0.0000 0.0000
Dy1 Dy 0.0000 0.5000 0.5000
Dy2 Dy 0.1994 0.9997 0.4007
Dy3 Dy 0.2009 0.5004 0.8994
Dy4 Dy 0.3980 0.9990 0.7985
Y1 Y 0.4004 0.5016 0.3006
```

E (eV/f.u.): -49.71
Formation enthalpy at 0 K (eV/atom): 0.020
Magnetic moment (μB per formula unit): 0.00
Distance to the lowest polymorph of the same formula (meV/atom): 0



[13]
A relaxed structure of BiOs. Source: the Alexandria database, functional PBE.

The structure in CIF format:
```
data_BiOs
_symmetry_space_group_name_H-M 'P 63 m c'
_symmetry_Int_Tables_number 186
_symmetry_space_group_name_Hall 'P 6c -2c'
_cell_length_a 4.4331
_cell_length_b 4.4331
_cell_length_c 6.7609
_cell_angle_alpha 90.00
_cell_angle_beta 90.00
_cell_angle_gamma 120.00
loop_
_atom_site_label
_atom_site_type_symbol
_atom_site_fract_x
_atom_site_fract_y
_atom_site_fract_z
Bi1 Bi 0.3333 0.6667 0.0000
Os1 Os 0.3333 0.6667 0.6071
```

E (eV/f.u.): -12.12
Formation enthalpy at 0 K (eV/atom): 1.496
Magnetic moment (μB per formula unit): 0.00
Distance to the lowest polymorph of the same formula (meV/atom): 786



[14]
A relaxed structure of GdErCdAu. Source: the Alexandria database, functional PBE.

The structure in CIF format:
```
data_GdErCdAu
_symmetry_space_group_name_H-M 'F -4 3 m'
_symmetry_Int_Tables_number 216
_symmetry_space_group_name_Hall 'F -4 2 3'
_cell_length_a 7.3446
_cell_length_b 7.3446
_cell_length_c 7.3446
_cell_angle_alpha 90.00
_cell_angle_beta 90.00
_cell_angle_gamma 90.00
loop_
_atom_site_label
_atom_site_type_symbol
_atom_site_fract_x
_atom_site_fract_y
_atom_site_fract_z
Gd1 Gd 0.0000 0.0000 0.0000
Er1 Er 0.0000 0.0000 0.5000
Cd1 Cd 0.2500 0.2500 0.7500
Au1 Au 0.2500 0.2500 0.2500
```

E (eV/f.u.): -25.06
Formation enthalpy at 0 K (eV/atom): -0.557
Magnetic moment (μB per formula unit): 7.16



[15]
A relaxed structure of Li2H6Ir. Source: the Alexandria database, functional PBE.

The structure in CIF format:
```
data_Li2H6Ir
_symmetry_space_group_name_H-M 'F m -3 m'
_symmetry_Int_Tables_number 225
_symmetry_space_group_name_Hall '-F 4 2 3'
_cell_length_a 6.4470
_cell_length_b 6.4470
_cell_length_c 6.4470
_cell_angle_alpha 90.00
_cell_angle_beta 90.00
_cell_angle_gamma 90.00
loop_
_atom_site_label
_atom_site_type_symbol
_atom_site_fract_x
_atom_site_fract_y
_atom_site_fract_z
Li1 Li 0.2500 0.2500 0.2500
H1 H 0.0000 0.0000 0.2392
Ir1 Ir 0.0000 0.0000 0.5000
```

E (eV/f.u.): -34.21
Magnetic moment (μB per formula unit): 0.37
Distance to the lowest polymorph of the same formula (meV/atom): 0



[16]
A relaxed structure of Pr6SBr3N2. Source: the Alexandria database, functional PBE.

The structure in CIF format:
```
data_Pr6SBr3N2
_symmetry_space_group_name_H-M 'C 1 2/m 1'
_symmetry_Int_Tables_number 12
_cell_length_a 6.7699
_cell_length_b 11.7184
_cell_length_c 7.6988
_cell_angle_alpha 90.00
_cell_angle_beta 107.06
_cell_angle_gamma 90.00
loop_
_symmetry_equiv_pos_as_xyz
'x,y,z'
'-x,-y,-z'
'-x,y,-z'
'x,-y,z'
'x+1/2,y+1/2,z'
'-x+1/2,-y+1/2,-z'
'-x+1/2,y+1/2,-z'
'x+1/2,-y+1/2,z'
loop_
_atom_site_label
_atom_site_type_symbol
_atom_site_fract_x
_atom_site_fract_y
_atom_site_fract_z
Pr1 Pr 0.2050 0.0000 0.1837
Pr2 Pr 0.2397 0.3218 0.1846
S1 S 0.0000 0.5000 0.0000
Br1 Br 0.0000 0.0000 0.5000
Br2 Br 0.0000 0.3377 0.5000
N1 N 0.0000 0.1668 0.0000
```

ΔE_f (raw) (kJ/mol of formula units): -1656
E (eV/f.u.): -71.63
Magnetic moment (μB per formula unit): 0.00



[17]
A relaxed structure of Th4Ga2Hg5. Source: the Alexandria database, functional PBE.

The structure in CIF format:
```
data_Th4Ga2Hg5
_symmetry_space_group_name_H-M 'P 1 2/m 1'
_symmetry_Int_Tables_number 10
_cell_length_a 8.1503
_cell_length_b 3.5453
_cell_length_c 10.0037
_cell_angle_alpha 90.00
_cell_angle_beta 95.88
_cell_angle_gamma 90.00
loop_
_symmetry_equiv_pos_as_xyz
'x,y,z'
'-x,-y,-z'
'-x,y,-z'
'x,-y,z'
loop_
_atom_site_label
_atom_site_type_symbol
_atom_site_fract_x
_atom_site_fract_y
_atom_site_fract_z
Th1 Th 0.1772 0.0000 0.3719
Th2 Th 0.2596 0.0000 0.9414
Ga1 Ga 0.0589 0.5000 0.1280
Hg1 Hg 0.1726 0.5000 0.6544
Hg2 Hg 0.4502 0.5000 0.1947
Hg3 Hg 0.5000 0.5000 0.5000
```

E (eV/f.u.): -40.27
Formation enthalpy at 0 K (eV/atom): -0.275
Magnetic moment (μB per formula unit): 0.00



[18]
A relaxed structure of Cs2VCdS4. Source: the Alexandria database, functional PBE.

The structure in CIF format:
```
data_Cs2VCdS4
_symmetry_space_group_name_H-M 'F d d d'
_symmetry_Int_Tables_number 70
_cell_length_a 6.0735
_cell_length_b 14.2393
_cell_length_c 24.9770
_cell_angle_alpha 90.00
_cell_angle_beta 90.00
_cell_angle_gamma 90.00
loop_
_symmetry_equiv_pos_as_xyz
'x,y,z'
'-x,-y,-z'
'-x+1/4,-y+1/4,z'
'x+1/4,y+1/4,-z'
'x,-y+1/4,-z+1/4'
'-x,y+1/4,z+1/4'
'-x+1/4,y,-z+1/4'
'x+1/4,-y,z+1/4'
'x,y+1/2,z+1/2'
'-x,-y+1/2,-z+1/2'
'-x+1/4,-y+3/4,z+1/2'
'x+1/4,y+3/4,-z+1/2'
'x,-y+3/4,-z+3/4'
'-x,y+3/4,z+3/4'
'-x+1/4,y+1/2,-z+3/4'
'x+1/4,-y+1/2,z+3/4'
'x+1/2,y,z+1/2'
'-x+1/2,-y,-z+1/2'
'-x+3/4,-y+1/4,z+1/2'
'x+3/4,y+1/4,-z+1/2'
'x+1/2,-y+1/4,-z+3/4'
'-x+1/2,y+1/4,z+3/4'
'-x+3/4,y,-z+3/4'
'x+3/4,-y,z+3/4'
'x+1/2,y+1/2,z'
'-x+1/2,-y+1/2,-z'
'-x+3/4,-y+3/4,z'
'x+3/4,y+3/4,-z'
'x+1/2,-y+3/4,-z+1/4'
'-x+1/2,y+3/4,z+1/4'
'-x+3/4,y+1/2,-z+1/4'
'x+3/4,-y+1/2,z+1/4'
loop_
_atom_site_label
_atom_site_type_symbol
_atom_site_fract_x
_atom_site_fract_y
_atom_site_fract_z
Cs1 Cs 0.1250 0.1250 0.3020
V1 V 0.1250 0.1250 0.6250
Cd1 Cd 0.1250 0.1250 0.1250
S1 S 0.0863 0.2826 0.8236
```

ΔE_f (raw) (kJ/mol of formula units): -759
E (eV/f.u.): -36.12
Magnetic moment (μB per formula unit): 1.00